A relaxed CsNaPrSe2 crystal, computed with GGA-PBE.

- electronic total energy (eV per atom) = -3.907
- ρ (g/cm3) = 3.66

Unit cell a=6.870 b=16.157 c=7.437 alpha=90.00 beta=90.00 gamma=90.00
Space group Cmme (No. 67)
Asymmetric unit:
Cs (0.000, 0.250, 0.236) [4 per cell]
Na (0.000, 0.000, 0.500) [4 per cell]
Pr (0.250, 0.000, 0.000) [4 per cell]
Se (0.000, 0.110, 0.787) [8 per cell]